Crystalline Pr2HoGe3Pd4 at its relaxed geometry. Source: Alexandria, functional PBE.

The density is 8680 kg/m³. The value obtained for the total energy is -57.230 eV for the cell shown. The density of states at the Fermi level comes out at 0.7398 states/eV per atom. The magnetic moment comes out at 0.000 μB per atom. For the calculated formation energy, the calculation gives -19.532 kcal/mol of atoms.

abc: 4.3155 4.3155 11.1998
angles: 90.00 90.00 90.00
Sites, in units of the cell vectors:
1 Pr 0.0000 0.5000 0.2224
2 Pr 0.5000 0.0000 0.7776
3 Ho 0.0000 0.0000 0.5000
4 Ge 0.0000 0.5000 0.8780
5 Ge 0.5000 0.0000 0.1220
6 Ge 0.5000 0.5000 0.5000
7 Pd 0.0000 0.0000 0.0000
8 Pd 0.0000 0.5000 0.6555
9 Pd 0.5000 0.0000 0.3445
10 Pd 0.5000 0.5000 0.0000